Record 1
Density functional theory data (GGA-PBE) for a relaxed structure of ZrAl3Si3.

energy above the most stable polymorph in this dataset	97.2	meV per atom
formation energy from raw total energies	-0.061	eV per atom

Cell lengths 6.5087, 9.7546, 3.7012 Å; angles 90.00, 90.00, 98.36 degrees
Closest atoms and distances in Å follow each position.
Fractional positions:
1 Zr 0.7049 0.2583 0.7500  5 Si 2.76-2.94, 3 Al 2.98-3.02
2 Zr 0.2951 0.7417 0.2500  5 Si 2.76-2.94, 3 Al 2.98-3.02
3 Si 0.8474 0.0845 0.2500  3 Si 2.49-2.55, 2 Al 2.68, 2 Zr 2.76
4 Si 0.6325 0.7014 0.7500  5 Al 2.43-2.65
5 Si 0.3675 0.2986 0.2500  5 Al 2.43-2.65
6 Si 0.1526 0.9155 0.7500  3 Si 2.49-2.55, 2 Al 2.68, 2 Zr 2.76
7 Si 0.1063 0.1641 0.7500  5 Si 2.49-2.72
8 Si 0.8937 0.8359 0.2500  5 Si 2.49-2.72
9 Al 0.6018 0.9463 0.7500  3 Si 2.43-2.68, 2 Al 2.58
10 Al 0.6613 0.5102 0.2500  3 Si 2.60-2.65, 5 Al 2.74-2.79
11 Al 0.9740 0.5997 0.7500  1 Si 2.56, 5 Al 2.74-2.79
12 Al 0.0260 0.4003 0.2500  1 Si 2.56, 5 Al 2.74-2.79
13 Al 0.3387 0.4898 0.7500  3 Si 2.60-2.65, 5 Al 2.74-2.79
14 Al 0.3982 0.0537 0.2500  3 Si 2.43-2.68, 2 Al 2.58



Record 2
Density functional theory data (GGA-PBE) for a relaxed structure of ZrAl3Si2.

energy above the most stable polymorph in this dataset	97.4	meV per atom
formation energy from raw total energies	-0.007	eV per atom

Cell lengths 5.2391, 5.2391, 4.2335 Å; angles 90.00, 90.00, 120.00 degrees
Closest atoms and distances in Å follow each position.
Fractional positions:
1 Si 0.6667 0.3333 0.0000  6 Al 2.60
2 Si 0.3333 0.6667 0.0000  6 Al 2.60
3 Al 0.0000 0.5000 0.5000  4 Si 2.60, 4 Al 2.62
4 Al 0.5000 0.0000 0.5000  4 Si 2.60, 4 Al 2.62
5 Al 0.5000 0.5000 0.5000  4 Si 2.60, 4 Al 2.62
6 Zr 0.0000 0.0000 0.0000  6 Si 3.02, 12 Al 3.37



Record 3
Density functional theory data (GGA-PBE) for a relaxed structure of Zr4Al2Si.

energy above the most stable polymorph in this dataset	470.6	meV per atom
formation energy from raw total energies	0.115	eV per atom

Cell lengths 3.3585, 3.3585, 16.3346 Å; angles 90.00, 90.00, 120.00 degrees
Closest atoms and distances in Å follow each position.
Fractional positions:
1 Al 0.3333 0.6667 0.2187  4 Zr 2.89-3.04
2 Al 0.6667 0.3333 0.7813  4 Zr 2.89-3.04
3 Zr 0.3333 0.6667 0.9249  3 Al 3.04, 9 Zr 3.13-3.36
4 Zr 0.3333 0.6667 0.3954  3 Si 2.58, 1 Al 2.89
5 Zr 0.6667 0.3333 0.6046  3 Si 2.58, 1 Al 2.89
6 Zr 0.6667 0.3333 0.0751  3 Al 3.04, 9 Zr 3.13-3.36
7 Si 0.0000 0.0000 0.5000  6 Zr 2.58